Entry 1:
The following is a GGA-PBE calculation of Pm2OsO after structural relaxation, from Alexandria.

Computed properties:
E, eV/cell: -29.6
Uncorrected formation energy, meV per atom: -983
Fermi-level density of states, states/eV per atom: 0.30

The structure in CIF format:
```
data_Pm2OsO
_cell_length_a 3.2851
_cell_length_b 3.2851
_cell_length_c 6.8966
_cell_angle_alpha 90.00
_cell_angle_beta 90.00
_cell_angle_gamma 90.00
_symmetry_space_group_name_H-M 'P 4/m m m'
_symmetry_Int_Tables_number 123
_symmetry_space_group_name_Hall '-P 4 2'
loop_
_atom_site_label
_atom_site_fract_x
_atom_site_fract_y
_atom_site_fract_z
Pm1 0.0000 0.0000 0.2344
Os1 0.5000 0.5000 0.5000
O1 0.5000 0.5000 0.0000
```

=====

Entry 2:
The following is a GGA-PBE calculation of AlRh2Pb after structural relaxation, from Alexandria.

Computed properties:
E, eV/cell: -46.3
Fermi-level density of states, states/eV per atom: 0.67

The structure in CIF format:
```
data_AlRh2Pb
_cell_length_a 8.0007
_cell_length_b 3.1699
_cell_length_c 5.6298
_cell_angle_alpha 90.00
_cell_angle_beta 103.19
_cell_angle_gamma 90.00
_symmetry_space_group_name_H-M 'C 1 2/m 1'
_symmetry_Int_Tables_number 12
_symmetry_space_group_name_Hall '-C 2y'
loop_
_atom_site_label
_atom_site_fract_x
_atom_site_fract_y
_atom_site_fract_z
Al1 0.0000 0.0000 0.0000
Rh1 0.2376 0.5000 0.2141
Pb1 0.0000 0.5000 0.5000
```

=====

Entry 3:
The following is a GGA-PBE calculation of YUS2O after structural relaxation, from Alexandria.

Computed properties:
E, eV/cell: -84.5
Uncorrected formation energy, meV per atom: -2258
Fermi-level density of states, states/eV per atom: 1.59

The structure in CIF format:
```
data_YUS2O
_cell_length_a 3.8364
_cell_length_b 3.8364
_cell_length_c 13.4908
_cell_angle_alpha 90.00
_cell_angle_beta 90.00
_cell_angle_gamma 90.00
_symmetry_space_group_name_H-M 'P 4/n m m'
_symmetry_Int_Tables_number 129
loop_
_symmetry_equiv_pos_as_xyz
'x,y,z'
'-x,-y,-z'
'-y+1/2,x,z'
'y+1/2,-x,-z'
'-x+1/2,-y+1/2,z'
'x+1/2,y+1/2,-z'
'y,-x+1/2,z'
'-y,x+1/2,-z'
'x+1/2,-y,-z'
'-x+1/2,y,z'
'-y,-x,-z'
'y,x,z'
'-x,y+1/2,-z'
'x,-y+1/2,z'
'y+1/2,x+1/2,-z'
'-y+1/2,-x+1/2,z'
loop_
_atom_site_label
_atom_site_fract_x
_atom_site_fract_y
_atom_site_fract_z
Y1 0.2500 0.2500 0.1074
U1 0.2500 0.2500 0.5981
S1 0.2500 0.2500 0.3091
S2 0.2500 0.2500 0.8961
O1 0.2500 0.7500 0.5000
```

=====

Entry 4:
The following is a GGA-PBE calculation of ErCdGePd after structural relaxation, from Alexandria.

Computed properties:
E, eV/cell: -69.5
Fermi-level density of states, states/eV per atom: 0.63

The structure in CIF format:
```
data_ErCdGePd
_cell_length_a 6.8263
_cell_length_b 6.8263
_cell_length_c 6.8263
_cell_angle_alpha 90.00
_cell_angle_beta 90.00
_cell_angle_gamma 90.00
_symmetry_space_group_name_H-M 'F -4 3 m'
_symmetry_Int_Tables_number 216
_symmetry_space_group_name_Hall 'F -4 2 3'
loop_
_atom_site_label
_atom_site_fract_x
_atom_site_fract_y
_atom_site_fract_z
Er1 0.0000 0.0000 0.0000
Cd1 0.0000 0.0000 0.5000
Ge1 0.2500 0.2500 0.7500
Pd1 0.2500 0.2500 0.2500
```

=====

Entry 5:
The following is a GGA-PBE calculation of Pu2Ga4AgPd3 after structural relaxation, from Alexandria.

Computed properties:
E, eV/cell: -64.0
Fermi-level density of states, states/eV per atom: 2.75

The structure in CIF format:
```
data_Pu2Ga4AgPd3
_cell_length_a 4.1953
_cell_length_b 4.1953
_cell_length_c 11.0325
_cell_angle_alpha 90.00
_cell_angle_beta 90.00
_cell_angle_gamma 90.00
_symmetry_space_group_name_H-M 'P -4 m 2'
_symmetry_Int_Tables_number 115
_symmetry_space_group_name_Hall 'P -4 -2'
loop_
_atom_site_label
_atom_site_fract_x
_atom_site_fract_y
_atom_site_fract_z
Pu1 0.0000 0.5000 0.2424
Ga1 0.0000 0.0000 0.0000
Ga2 0.0000 0.5000 0.6389
Ga3 0.5000 0.5000 0.0000
Ag1 0.0000 0.0000 0.5000
Pd1 0.0000 0.5000 0.8654
Pd2 0.5000 0.5000 0.5000
```

=====

Entry 6:
The following is a GGA-PBE calculation of Zr3BiO after structural relaxation, from Alexandria.

Computed properties:
E, eV/cell: -39.5
Uncorrected formation energy, meV per atom: -1004
Fermi-level density of states, states/eV per atom: 1.99

The structure in CIF format:
```
data_Zr3BiO
_cell_length_a 4.5626
_cell_length_b 4.5626
_cell_length_c 4.5626
_cell_angle_alpha 90.00
_cell_angle_beta 90.00
_cell_angle_gamma 90.00
_symmetry_space_group_name_H-M 'P m -3 m'
_symmetry_Int_Tables_number 221
_symmetry_space_group_name_Hall '-P 4 2 3'
loop_
_atom_site_label
_atom_site_fract_x
_atom_site_fract_y
_atom_site_fract_z
Zr1 0.0000 0.0000 0.5000
Bi1 0.5000 0.5000 0.5000
O1 0.0000 0.0000 0.0000
```

=====

Entry 7:
The following is a GGA-PBE calculation of LiPm2Tm after structural relaxation, from Alexandria.

Computed properties:
E, eV/cell: -45.8
Fermi-level density of states, states/eV per atom: 1.26

The structure in CIF format:
```
data_LiPm2Tm
_cell_length_a 3.4934
_cell_length_b 3.4934
_cell_length_c 36.8657
_cell_angle_alpha 90.00
_cell_angle_beta 90.00
_cell_angle_gamma 120.00
_symmetry_space_group_name_H-M 'R -3 m'
_symmetry_Int_Tables_number 166
_symmetry_space_group_name_Hall '-R 3 2"'
loop_
_atom_site_label
_atom_site_fract_x
_atom_site_fract_y
_atom_site_fract_z
Li1 0.0000 0.0000 0.0000
Pm1 0.0000 0.0000 0.0894
Tm1 0.0000 0.0000 0.5000
```

=====

Entry 8:
The following is a GGA-PBE calculation of Ac2SiPd4Pt2 after structural relaxation, from Alexandria.

Computed properties:
E, eV/cell: -109.1
Uncorrected formation energy, meV per atom: -895
Fermi-level density of states, states/eV per atom: 0.49

The structure in CIF format:
```
data_Ac2SiPd4Pt2
_cell_length_a 6.3537
_cell_length_b 6.3537
_cell_length_c 8.9652
_cell_angle_alpha 90.00
_cell_angle_beta 90.00
_cell_angle_gamma 90.00
_symmetry_space_group_name_H-M 'I 4/m m m'
_symmetry_Int_Tables_number 139
_symmetry_space_group_name_Hall '-I 4 2'
loop_
_atom_site_label
_atom_site_fract_x
_atom_site_fract_y
_atom_site_fract_z
Ac1 0.0000 0.5000 0.2500
Si1 0.0000 0.0000 0.0000
Pd1 0.2265 0.2265 0.5000
Pt1 0.0000 0.0000 0.2659
```